Run one
4
Lattice="-5.231 -6.731 -4.413 -3.273 -6.221 -6.537 -2.646 -8.117 -4.388" Properties=species:S:1:pos:R:3 comment="AlTlW2, relaxed, DFT PBE" magmom_total_mub_per_fu=0.00 volume_a3_per_atom=17.604 n_ef_per_ev_atom=0.64 rho_g_cm3=14.1 pbc="T T T"
Tl -8.363 -15.802 -11.504
Al -2.788 -5.267 -3.835
W -11.097 -20.970 -15.266
W -5.628 -10.635 -7.742

Run two
4
Lattice="-0.508 2.617 -1.016 -2.119 -1.744 -0.777 -4.529 2.093 7.657" Properties=species:S:1:pos:R:3 comment="AlTlW2, relaxed, DFT PBE" magmom_total_mub_per_fu=0.00 volume_a3_per_atom=17.539 n_ef_per_ev_atom=0.67 rho_g_cm3=14.2 pbc="T T T"
Tl -4.711 2.006 4.846
Al -2.446 0.959 1.018
W -0.085 0.039 0.143
W -2.180 1.007 3.686

run two is favored, and the nearest alternative lies 0.6 kJ/mol of atoms above it.

Run one
4
Lattice="2.843 -3.085 -1.887 1.693 -3.431 2.554 -1.430 -4.315 -0.706" Properties=species:S:1:pos:R:3 comment="AlTlW2, relaxed, DFT PBE" magmom_total_mub_per_fu=0.00 volume_a3_per_atom=17.210 n_ef_per_ev_atom=1.19 rho_g_cm3=14.4 pbc="T T T"
Tl 1.553 -5.416 -0.019
Al 0.000 0.000 0.000
W 0.777 -2.708 -0.010
W 2.330 -8.124 -0.029

Run two
4
Lattice="-0.702 2.322 -4.359 -2.854 -0.024 -4.091 -3.343 3.214 1.290" Properties=species:S:1:pos:R:3 comment="AlTlW2, relaxed, DFT PBE" magmom_total_mub_per_fu=0.00 volume_a3_per_atom=17.857 n_ef_per_ev_atom=0.56 rho_g_cm3=13.9 pbc="T T T"
Tl -1.725 1.378 -1.790
Al -5.174 4.134 -5.370
W -3.239 3.111 1.221
W -3.553 2.859 -3.510

run two is favored, and the nearest alternative lies 32.0 kJ/mol of atoms above it.